Compound: Na2SrW
Source: the Alexandria database
Functional: PBE
Structure: optimized geometry

The structure in extended XYZ format:
```
8
Lattice="4.659 0.000 0.000 0.000 4.659 0.000 2.329 2.329 12.295" Properties=species:S:1:pos:R:3 pbc="T T T"
Sr 2.329 2.329 0.000
Sr 2.329 4.659 6.147
W 0.000 0.000 0.000
W 4.659 2.329 6.147
Na 3.649 1.165 3.074
Na 1.010 3.494 3.074
Na 3.494 3.339 9.221
Na 5.823 5.978 9.221
```

Properties
SG ... I-42d (122)
Formation enthalpy at 0 K ... 1.32 eV/atom
Density of states at the Fermi level ... 3.011 states/eV/f.u.
V ... 33.4 Å³ per atom
DFT total energy ... -3.002 eV per atom